Below is crystalline Ca3Ge2Ir2 at its relaxed geometry, with properties calculated at the PBE level.

Unit cell a=5.7754 b=7.8374 c=13.6092 alpha=90.00 beta=90.00 gamma=90.00
Element x y z (fractional)
Ca 0.1393 0.6088 0.0989
Ca 0.8607 0.3912 0.5989
Ca 0.8607 0.1088 0.4011
Ca 0.1393 0.8912 0.9011
Ca 0.8607 0.3912 0.9011
Ca 0.1393 0.6088 0.4011
Ca 0.1393 0.8912 0.5989
Ca 0.8607 0.1088 0.0989
Ca 0.3712 0.2653 0.2500
Ca 0.6288 0.7347 0.7500
Ca 0.6288 0.7653 0.2500
Ca 0.3712 0.2347 0.7500
Ge 0.3993 0.2500 0.0000
Ge 0.6007 0.7500 0.5000
Ge 0.6007 0.7500 0.0000
Ge 0.3993 0.2500 0.5000
Ge 0.8503 0.4176 0.2500
Ge 0.1497 0.5824 0.7500
Ge 0.1497 0.9176 0.2500
Ge 0.8503 0.0824 0.7500
Ir 0.6391 0.4736 0.0919
Ir 0.3609 0.5264 0.5919
Ir 0.3609 0.9736 0.4081
Ir 0.6391 0.0264 0.9081
Ir 0.3609 0.5264 0.9081
Ir 0.6391 0.4736 0.4081
Ir 0.6391 0.0264 0.5919
Ir 0.3609 0.9736 0.0919

Calculated formation energy, eV/atom: -0.690
Space-group type: Pbcm, No. 57


Below is crystalline LaTm3Sc2 at its relaxed geometry, with properties calculated at the PBE level.

Unit cell a=5.4589 b=8.5908 c=8.5908 alpha=111.03 beta=90.00 gamma=90.00
Element x y z (fractional)
La 0.9930 0.7366 0.7366
La 0.4930 0.2634 0.2634
Tm 0.9930 0.8907 0.3623
Tm 0.4930 0.6377 0.1093
Tm 0.9930 0.3623 0.8907
Tm 0.4930 0.1093 0.6377
Tm 0.4930 0.9080 0.9080
Tm 0.9930 0.0920 0.0920
Sc 0.4930 0.7004 0.4838
Sc 0.9930 0.5162 0.2996
Sc 0.4930 0.4838 0.7004
Sc 0.9930 0.2996 0.5162

Calculated formation energy, eV/atom: 0.303
Space-group type: Cmcm, No. 63


Below is crystalline AgPt2Au at its relaxed geometry, with properties calculated at the PBE level.

Unit cell a=2.8205 b=2.8205 c=9.8018 alpha=81.73 beta=81.73 gamma=60.00
Element x y z (fractional)
Ag 0.4998 0.4998 0.5005
Pt 0.0838 0.0838 0.7485
Pt 0.2495 0.2495 0.2515
Au 0.6668 0.6668 0.9995

Calculated formation energy, eV/atom: 0.009
ΔE to the lowest computed polymorph, eV per atom: 0.043
Space-group type: R3m, No. 160


Below is crystalline EuHBr at its relaxed geometry, with properties calculated at the PBE level.

Unit cell a=4.0636 b=4.0638 c=8.8400 alpha=90.00 beta=90.00 gamma=120.00
Element x y z (fractional)
Eu 0.6664 0.3328 0.2500
Eu 0.3336 0.6672 0.7500
H 0.3330 0.6661 0.2500
H 0.6670 0.3339 0.7500
Br 0.0000 0.0000 0.0000
Br 0.0000 0.0000 0.5000

Final energy, eV per atom: -6.39
Space-group type: P6_3/mmc, No. 194


Below is crystalline CaZr2Te at its relaxed geometry, with properties calculated at the PBE level.

Unit cell a=6.2433 b=6.2433 c=6.2433 alpha=144.42 beta=133.79 gamma=59.65
Element x y z (fractional)
Ca 0.7500 0.2500 0.5000
Te 0.2500 0.7500 0.5000
Zr 0.0171 0.0171 0.0000
Zr 0.4829 0.4829 0.0000

E_form (uncorrected), meV per atom: -199
Space-group type: Immm, No. 71


Below is crystalline Er8Ga3Te4Se at its relaxed geometry, with properties calculated at the PBE level.

Unit cell a=8.3092 b=8.6271 c=8.3088 alpha=118.78 beta=120.00 gamma=90.00
Element x y z (fractional)
Er 0.2442 0.7243 0.9801
Er 0.2442 0.7244 0.4884
Er 0.2567 0.2700 0.5134
Er 0.7360 0.7243 0.9801
Er 0.2640 0.2757 0.0199
Er 0.7433 0.7300 0.4866
Er 0.7558 0.2756 0.5116
Er 0.7558 0.2757 0.0199
Ga 0.5000 0.5000 0.0000
Ga 0.5000 0.5000 0.5000
Ga 0.0000 0.5000 0.5000
Te 0.5000 0.0000 0.0000
Te 0.5000 0.0000 0.5000
Te 0.0000 0.0000 0.0000
Te 0.0000 0.0000 0.5000
Se 0.0000 0.5000 0.0000

E_form (uncorrected), meV per atom: -1080
Space-group type: R-3m, No. 166


Below is crystalline YAs2Se at its relaxed geometry, with properties calculated at the PBE level.

Unit cell a=5.6880 b=5.6880 c=4.2216 alpha=90.00 beta=90.00 gamma=41.16
Element x y z (fractional)
Y 0.2135 0.2135 0.3749
As 0.0044 0.0044 0.8750
As 0.7771 0.7771 0.8750
Se 0.5050 0.5050 0.3751

E_form (uncorrected), meV per atom: -813
Space-group type: Amm2, No. 38


Below is crystalline ReRuS2Cl at its relaxed geometry, with properties calculated at the PBE level.

Unit cell a=4.6500 b=4.6500 c=4.6971 alpha=90.00 beta=90.00 gamma=90.00
Element x y z (fractional)
Re 0.5000 0.5000 0.5000
S 0.0000 0.5000 0.0000
S 0.5000 0.0000 0.0000
Cl 0.0000 0.0000 0.5000
Ru 0.0000 0.0000 0.0000

E_form (uncorrected), meV per atom: 1167
ΔE to the lowest computed polymorph, eV per atom: 0.232
Space-group type: P4/mmm, No. 123


Below is crystalline K3RbHg at its relaxed geometry, with properties calculated at the PBE level.

Unit cell a=8.6096 b=12.8244 c=12.8244 alpha=60.29 beta=81.04 gamma=81.04
Element x y z (fractional)
K 0.5843 0.6625 0.0015
K 0.9157 0.9985 0.3375
K 0.4157 0.3375 0.9985
K 0.0843 0.0015 0.6625
K 0.9171 0.3399 0.9914
K 0.5829 0.0086 0.6601
K 0.0829 0.6601 0.0086
K 0.4171 0.9914 0.3399
K 0.4052 0.6680 0.6694
K 0.0948 0.3306 0.3320
K 0.5948 0.3320 0.3306
K 0.9052 0.6694 0.6680
Rb 0.2500 0.9359 0.0641
Rb 0.7500 0.0641 0.9359
Rb 0.2500 0.3677 0.6323
Rb 0.7500 0.6323 0.3677
Hg 0.7001 0.4090 0.7281
Hg 0.7999 0.2719 0.5910
Hg 0.2999 0.5910 0.2719
Hg 0.2001 0.7281 0.4090

Calculated formation energy, eV/atom: -0.078
ΔE to the lowest computed polymorph, eV per atom: 0.017
Space-group type: C2/c, No. 15


Below is crystalline La5Sm2Dy3 at its relaxed geometry, with properties calculated at the PBE level.

Unit cell a=10.2216 b=10.2127 c=9.2698 alpha=108.61 beta=108.65 gamma=114.86
Element x y z (fractional)
La 0.2254 0.4754 0.9508
La 0.7746 0.5246 0.0492
La 0.9825 0.7325 0.4650
La 0.4754 0.2254 0.4508
La 0.0175 0.2675 0.5350
La 0.5246 0.7746 0.5492
La 0.8775 0.6307 0.7594
La 0.1225 0.3693 0.2406
La 0.3819 0.1287 0.7594
La 0.6181 0.8713 0.2406
Sm 0.9731 0.0347 0.7577
Sm 0.0269 0.9653 0.2423
Sm 0.2846 0.7230 0.7577
Sm 0.7154 0.2770 0.2423
Dy 0.2692 0.0192 0.0384
Dy 0.7308 0.9808 0.9616
Dy 0.5254 0.4689 0.2479
Dy 0.4746 0.5311 0.7521
Dy 0.2224 0.7790 0.2479
Dy 0.7776 0.2210 0.7521

Calculated formation energy, eV/atom: 0.160
Space-group type: C2/c, No. 15


Below is crystalline Na2TlPd2 at its relaxed geometry, with properties calculated at the PBE level.

Unit cell a=8.3450 b=8.3450 c=2.9813 alpha=90.00 beta=90.00 gamma=90.00
Element x y z (fractional)
Na 0.3779 0.8779 0.0000
Na 0.8779 0.6221 0.0000
Na 0.6221 0.1221 0.0000
Na 0.1221 0.3779 0.0000
Tl 0.0000 0.0000 0.0000
Tl 0.5000 0.5000 0.0000
Pd 0.1772 0.6772 0.5000
Pd 0.6772 0.8228 0.5000
Pd 0.8228 0.3228 0.5000
Pd 0.3228 0.1772 0.5000

Calculated formation energy, eV/atom: 0.042
ΔE to the lowest computed polymorph, eV per atom: 0.217
Space-group type: P4/mbm, No. 127


Below is crystalline Ac2MnNi3Sn4 at its relaxed geometry, with properties calculated at the PBE level.

Unit cell a=4.5580 b=4.5580 c=10.7109 alpha=90.00 beta=90.00 gamma=90.00
Element x y z (fractional)
Ac 0.5000 0.0000 0.2536
Ac 0.0000 0.5000 0.7464
Mn 0.5000 0.5000 0.5000
Ni 0.0000 0.0000 0.5000
Ni 0.5000 0.0000 0.8761
Ni 0.0000 0.5000 0.1239
Sn 0.5000 0.5000 0.0000
Sn 0.0000 0.0000 0.0000
Sn 0.5000 0.0000 0.6314
Sn 0.0000 0.5000 0.3686

Calculated formation energy, eV/atom: -0.456
Space-group type: P-4m2, No. 115


Below is crystalline PaPd2Au6 at its relaxed geometry, with properties calculated at the PBE level.

Unit cell a=4.1287 b=6.5867 c=6.8340 alpha=108.53 beta=107.58 gamma=90.00
Element x y z (fractional)
Pa 0.5000 0.5000 0.0000
Pd 0.9524 0.1818 0.9048
Pd 0.0476 0.8182 0.0952
Au 0.3914 0.8398 0.7827
Au 0.6086 0.1602 0.2173
Au 0.7272 0.8402 0.4543
Au 0.1702 0.5131 0.3405
Au 0.2728 0.1598 0.5457
Au 0.8298 0.4869 0.6595

Calculated formation energy, eV/atom: -0.251
Space-group type: C2/m, No. 12


Below is crystalline MgZrSe2N at its relaxed geometry, with properties calculated at the PBE level.

Unit cell a=5.3520 b=5.3520 c=4.0575 alpha=90.00 beta=90.00 gamma=90.00
Element x y z (fractional)
Mg 0.5000 0.5000 0.5000
Se 0.0000 0.5000 0.0000
Se 0.5000 0.0000 0.0000
Zr 0.0000 0.0000 0.0000
N 0.0000 0.0000 0.5000

E_form (uncorrected), meV per atom: -366
ΔE to the lowest computed polymorph, eV per atom: 0.000
Space-group type: P4/mmm, No. 123


Below is crystalline RbMg6 at its relaxed geometry, with properties calculated at the PBE level.

Unit cell a=7.2188 b=7.2188 c=7.2188 alpha=109.47 beta=109.47 gamma=109.47
Element x y z (fractional)
Rb 0.0000 0.0000 0.0000
Mg 0.2500 0.7500 0.5000
Mg 0.5000 0.7500 0.2500
Mg 0.2500 0.5000 0.7500
Mg 0.7500 0.2500 0.5000
Mg 0.5000 0.2500 0.7500
Mg 0.7500 0.5000 0.2500

Calculated formation energy, eV/atom: 0.484
Space-group type: Im-3m, No. 229


Below is crystalline PrDyAu at its relaxed geometry, with properties calculated at the PBE level.

Unit cell a=5.0421 b=9.0570 c=7.3639 alpha=90.00 beta=90.00 gamma=90.00
Element x y z (fractional)
Pr 0.2500 0.8228 0.4883
Pr 0.7500 0.3228 0.0117
Pr 0.2500 0.6772 0.9883
Pr 0.7500 0.1772 0.5117
Dy 0.7500 0.9183 0.1487
Dy 0.7500 0.5817 0.6487
Dy 0.2500 0.0817 0.8513
Dy 0.2500 0.4183 0.3513
Au 0.7500 0.5978 0.2557
Au 0.7500 0.9022 0.7557
Au 0.2500 0.0978 0.2443
Au 0.2500 0.4022 0.7443

Calculated formation energy, eV/atom: -0.590
ΔE to the lowest computed polymorph, eV per atom: 0.000
Space-group type: Pnma, No. 62


Below is crystalline ZnSb2Pt2 at its relaxed geometry, with properties calculated at the PBE level.

Unit cell a=7.0764 b=7.0764 c=4.0088 alpha=90.00 beta=90.00 gamma=90.00
Element x y z (fractional)
Sb 0.1641 0.6641 0.5000
Sb 0.6641 0.8359 0.5000
Sb 0.8359 0.3359 0.5000
Sb 0.3359 0.1641 0.5000
Zn 0.0000 0.0000 0.0000
Zn 0.5000 0.5000 0.0000
Pt 0.3541 0.8541 0.0000
Pt 0.8541 0.6459 0.0000
Pt 0.6459 0.1459 0.0000
Pt 0.1459 0.3541 0.0000

E_form (uncorrected), meV per atom: -174
ΔE to the lowest computed polymorph, eV per atom: 0.000
Space-group type: P4/mbm, No. 127


Below is crystalline Y2ErScO6 at its relaxed geometry, with properties calculated at the PBE level.

Unit cell a=5.6963 b=5.6964 c=5.9528 alpha=61.41 beta=61.41 gamma=60.00
Element x y z (fractional)
Y 0.5281 0.5280 0.4158
Y 0.0263 0.0263 0.9211
Er 0.8087 0.8087 0.5738
Sc 0.3125 0.3125 0.0625
O 0.6014 0.2017 0.2529
O 0.2018 0.9440 0.2529
O 0.9440 0.6013 0.2529
O 0.4266 0.6934 0.7610
O 0.6933 0.1190 0.7611
O 0.1189 0.4267 0.7611

E_form (uncorrected), meV per atom: -3519
Space-group type: R3, No. 146


Below is crystalline ScNiPS2 at its relaxed geometry, with properties calculated at the PBE level.

Unit cell a=4.8304 b=4.8304 c=4.9749 alpha=90.00 beta=90.00 gamma=90.00
Element x y z (fractional)
Sc 0.0000 0.0000 0.0000
Ni 0.5000 0.5000 0.5000
S 0.0000 0.5000 0.0000
S 0.5000 0.0000 0.0000
P 0.0000 0.0000 0.5000

E_form (uncorrected), meV per atom: 420
ΔE to the lowest computed polymorph, eV per atom: 0.662
Space-group type: P4/mmm, No. 123


Below is crystalline SbPt2Cl at its relaxed geometry, with properties calculated at the PBE level.

Unit cell a=3.6311 b=4.8920 c=4.8934 alpha=70.42 beta=90.00 gamma=90.00
Element x y z (fractional)
Cl 0.5000 0.7500 0.7500
Pt 0.0000 0.0158 0.0158
Pt 0.0000 0.4842 0.4842
Sb 0.5000 0.2500 0.2500

E_form (uncorrected), meV per atom: -14
ΔE to the lowest computed polymorph, eV per atom: 0.159
Space-group type: Cmmm, No. 65